Record 1
Material: KBeZn2
Method: DFT, GGA-PBE
State: optimized geometry

Calculated values
As for the formation enthalpy at 0 K: 346.9 meV per atom. The symmetry is P2/m.

The structure in POSCAR format:
```
KBeZn2
1.0
-3.027 1.482 1.157
-0.776 -2.384 1.023
2.761 -0.530 7.902
Be Zn K
1 2 1
Direct
0.500 0.250 0.250
0.000 0.910 0.087
0.000 0.590 0.413
0.500 0.750 0.750
```

Record 2
Material: Er2Cr2Ni15
Method: DFT, GGA-PBE
State: optimized geometry

Calculated values
As for the formation enthalpy at 0 K: -200.8 meV per atom. The symmetry is R-3m.

The structure in POSCAR format:
```
Er2Cr2Ni15
1.0
6.198 -0.001 0.810
0.711 6.158 0.810
-0.001 -0.001 6.251
Er Cr Ni
2 2 15
Direct
0.341 0.341 0.341
0.659 0.659 0.659
0.080 0.080 0.080
0.920 0.920 0.920
0.500 0.000 0.000
0.000 0.000 0.500
0.000 0.500 0.000
0.000 0.695 0.305
0.695 0.305 0.000
0.305 0.000 0.695
0.305 0.695 0.000
0.695 0.000 0.305
0.000 0.305 0.695
0.155 0.659 0.659
0.659 0.659 0.155
0.659 0.155 0.659
0.845 0.341 0.341
0.341 0.341 0.845
0.341 0.845 0.341
```

Record 3
Material: Pm3Pr7Dy2
Method: DFT, GGA-PBE
State: optimized geometry

Calculated values
The value obtained for the polymorph energy (0 for the lowest one) is 0.0 kJ per mole of atoms. As for the formation enthalpy at 0 K: 71.7 meV per atom. The symmetry is P2/m.

The structure in POSCAR format:
```
Pm3Pr7Dy2
1.0
-0.356 -2.713 2.349
5.560 -2.677 -2.247
13.303 7.303 10.453
Pm Pr Dy
3 7 2
Direct
0.500 0.500 0.000
0.000 0.116 0.339
0.000 0.884 0.661
0.500 0.238 0.506
0.500 0.762 0.494
0.000 0.558 0.169
0.000 0.000 0.000
0.000 0.442 0.831
0.500 0.947 0.829
0.500 0.053 0.171
0.500 0.612 0.330
0.500 0.388 0.670
```

Record 4
Material: Ac2HfCr2N6
Method: DFT, GGA-PBE
State: optimized geometry

Calculated values
For the raw formation energy, the calculation gives -1.005 eV/atom. The symmetry is R-3m.

The structure in POSCAR format:
```
Ac2HfCr2N6
1.0
-3.110 0.203 -4.987
-2.356 -4.919 -2.199
-6.415 -0.669 0.505
Ac Hf Cr N
2 1 2 6
Direct
0.774 0.774 0.678
0.226 0.226 0.322
0.000 0.000 0.000
0.434 0.434 0.698
0.566 0.566 0.302
0.754 0.754 0.241
0.251 0.754 0.241
0.754 0.251 0.241
0.246 0.749 0.759
0.749 0.246 0.759
0.246 0.246 0.759
```

Record 5
Material: Y2In8Pt
Method: DFT, GGA-PBE
State: optimized geometry

Calculated values
As for the formation enthalpy at 0 K: -425.7 meV per atom. The symmetry is P4/mmm.

The structure in POSCAR format:
```
Y2In8Pt
1.0
4.689 0.000 0.000
0.000 4.689 0.000
0.000 0.000 12.128
Y In Pt
2 8 1
Direct
0.000 0.000 0.310
0.000 0.000 0.690
0.000 0.500 0.500
0.500 0.000 0.500
0.500 0.500 0.309
0.500 0.500 0.691
0.000 0.500 0.127
0.500 0.000 0.127
0.000 0.500 0.873
0.500 0.000 0.873
0.000 0.000 0.000
```

Record 6
Material: Ca5TlHg6
Method: DFT, GGA-PBE
State: optimized geometry

Calculated values
As for the formation enthalpy at 0 K: -484.0 meV per atom. The symmetry is Immm.

The structure in POSCAR format:
```
Ca5TlHg6
1.0
5.108 -0.004 -1.432
-3.826 7.511 -3.844
-0.176 -1.036 9.204
Ca Tl Hg
5 1 6
Direct
0.500 0.158 0.842
0.000 0.329 0.671
0.500 0.500 0.500
0.000 0.671 0.329
0.500 0.842 0.158
0.000 0.000 0.000
0.259 0.088 0.429
0.741 0.571 0.912
0.767 0.267 0.267
0.233 0.733 0.733
0.259 0.429 0.088
0.741 0.912 0.571
```

Record 7
Material: SrSi2HgN
Method: DFT, GGA-PBE
State: optimized geometry

Calculated values
For the raw formation energy, the calculation gives 2.450 eV/atom. The symmetry is P4/mmm.

The structure in POSCAR format:
```
SrSi2HgN
1.0
5.752 0.000 0.000
0.000 5.948 0.000
0.000 0.000 5.752
Sr Si Hg N
1 2 1 1
Direct
0.000 0.000 0.000
0.000 0.000 0.500
0.500 0.000 0.000
0.000 0.500 0.000
0.500 0.500 0.500
```

Record 8
Material: BaTeW2
Method: DFT, GGA-PBE
State: optimized geometry

Calculated values
For the raw formation energy, the calculation gives 0.871 eV/atom. The symmetry is Imm2.

The structure in POSCAR format:
```
BaTeW2
1.0
-1.853 5.134 -3.171
-1.302 -1.010 -6.093
-1.355 -1.074 6.071
Ba Te W
1 1 2
Direct
0.497 0.497 0.000
0.791 0.291 0.500
0.023 0.023 0.000
0.189 0.689 0.500
```

Record 9
Material: La2TaW
Method: DFT, GGA-PBE
State: optimized geometry

Calculated values
The value obtained for the polymorph energy (0 for the lowest one) is 15.4 kJ per mole of atoms. As for the formation enthalpy at 0 K: 472.2 meV per atom. The symmetry is Imm2.

The structure in POSCAR format:
```
La2TaW
1.0
-0.822 4.463 4.260
-5.478 2.954 0.080
2.930 -5.467 0.517
La Ta W
2 1 1
Direct
0.012 0.012 0.000
0.746 0.246 0.500
0.457 0.457 0.000
0.285 0.785 0.500
```

Record 10
Material: Zr5TiN4
Method: DFT, GGA-PBE
State: optimized geometry

Calculated values
For the raw formation energy, the calculation gives -1.343 eV/atom. The symmetry is C2/m.

The structure in POSCAR format:
```
Zr5TiN4
1.0
-2.214 1.485 1.863
-4.446 -4.405 -1.772
4.009 -3.515 4.726
Zr Ti N
5 1 4
Direct
0.834 0.680 0.669
0.836 0.154 0.672
0.164 0.846 0.328
0.500 0.500 0.000
0.166 0.320 0.331
0.500 0.000 0.000
0.338 0.918 0.676
0.998 0.759 0.996
0.662 0.082 0.324
0.002 0.241 0.004
```

Record 11
Material: CsRbTl10
Method: DFT, GGA-PBE
State: optimized geometry

Calculated values
As for the formation enthalpy at 0 K: -22.2 meV per atom. The symmetry is Pmmm.

The structure in POSCAR format:
```
CsRbTl10
1.0
5.466 0.000 0.000
0.000 6.814 0.000
0.000 0.000 11.901
Cs Rb Tl
1 1 10
Direct
0.000 0.500 0.500
0.000 0.000 0.000
0.000 0.000 0.330
0.000 0.500 0.837
0.000 0.500 0.163
0.000 0.000 0.670
0.500 0.000 0.500
0.500 0.500 0.000
0.500 0.248 0.246
0.500 0.752 0.754
0.500 0.752 0.246
0.500 0.248 0.754
```

Record 12
Material: K6RbAg2O
Method: DFT, GGA-PBE
State: optimized geometry

Calculated values
For the raw formation energy, the calculation gives -0.275 eV/atom. The symmetry is P1.

The structure in POSCAR format:
```
K6RbAg2O
1.0
8.079 0.004 0.011
4.043 6.993 0.013
4.051 2.341 8.387
K Rb Ag O
6 1 2 1
Direct
0.459 0.401 0.173
0.400 0.967 0.174
0.968 0.459 0.174
0.269 0.702 0.804
0.702 0.225 0.805
0.224 0.269 0.806
0.827 0.828 0.520
0.511 0.510 0.465
0.966 0.965 0.101
0.335 0.335 0.994
```